[1]
A relaxed ReSbP2 crystal, computed with PBE.

Computed properties:
symmetry = R-3m
DOS(E_F) = 0.661 states/eV/atom
formation energy without anion corrections = 0.079 eV per atom

Lattice parameters (Å, degrees): 8.5396 8.5396 8.5396 21.22 21.22 21.22
Closest atoms and distances in Å follow each position.
Fractional positions:
1 P 0.5175 0.5175 0.5175  3 Re 2.45
2 P 0.9825 0.9825 0.9825  3 Re 2.45
3 Sb 0.7500 0.7500 0.7500  6 P 3.11, 6 Sb 3.14
4 Re 0.2500 0.2500 0.2500  6 P 2.45

---

[2]
A relaxed Tb6NdEr2Tm crystal, computed with PBE.

Computed properties:
symmetry = C2/c
DOS(E_F) = 1.418 states/eV/atom
energy relative to the elements = 1.2 eV per formula unit

Lattice parameters (Å, degrees): 9.4983 8.7789 8.7789 117.51 93.45 93.45
Closest atoms and distances in Å follow each position.
Fractional positions:
1 Nd 0.2500 0.9736 0.0264  4 Er 3.38-3.45, 4 Tb 3.57-3.67
2 Nd 0.7500 0.0264 0.9736  4 Er 3.38-3.45, 4 Tb 3.57-3.67
3 Tb 0.1837 0.5632 0.0139  3 Tb 3.21-3.56, 2 Er 3.39-3.58, 1 Tm 3.44, 1 Nd 3.57
4 Tb 0.0561 0.1223 0.7532  7 Tb 3.40-3.73, 1 Er 3.50, 1 Nd 3.67
5 Tb 0.6837 0.0139 0.5632  3 Tb 3.21-3.56, 2 Er 3.39-3.58, 1 Tm 3.44, 1 Nd 3.57
6 Tb 0.3820 0.5103 0.2917  4 Tb 3.21-3.51, 3 Er 3.26-3.42, 2 Tm 3.40-3.52
7 Tb 0.8820 0.2917 0.5103  4 Tb 3.21-3.51, 3 Er 3.26-3.42, 2 Tm 3.40-3.52
8 Tb 0.1180 0.7083 0.4897  4 Tb 3.21-3.51, 3 Er 3.26-3.42, 2 Tm 3.40-3.52
9 Tb 0.5561 0.7532 0.1223  7 Tb 3.40-3.73, 1 Er 3.50, 1 Nd 3.67
10 Tb 0.4439 0.2468 0.8777  7 Tb 3.40-3.73, 1 Er 3.50, 1 Nd 3.67
11 Tb 0.9439 0.8777 0.2468  7 Tb 3.40-3.73, 1 Er 3.50, 1 Nd 3.67
12 Tb 0.8163 0.4368 0.9861  3 Tb 3.21-3.56, 2 Er 3.39-3.58, 1 Tm 3.44, 1 Nd 3.57
13 Tb 0.6180 0.4897 0.7083  4 Tb 3.21-3.51, 3 Er 3.26-3.42, 2 Tm 3.40-3.52
14 Tb 0.3163 0.9861 0.4368  3 Tb 3.21-3.56, 2 Er 3.39-3.58, 1 Tm 3.44, 1 Nd 3.57
15 Er 0.4528 0.7988 0.6946  6 Tb 3.26-3.58, 2 Nd 3.38-3.45, 1 Tm 3.50
16 Er 0.0472 0.3054 0.2012  6 Tb 3.26-3.58, 2 Nd 3.38-3.45, 1 Tm 3.50
17 Er 0.5472 0.2012 0.3054  6 Tb 3.26-3.58, 2 Nd 3.38-3.45, 1 Tm 3.50
18 Er 0.9528 0.6946 0.7988  6 Tb 3.26-3.58, 2 Nd 3.38-3.45, 1 Tm 3.50
19 Tm 0.2500 0.4103 0.5897  6 Tb 3.40-3.52, 2 Er 3.50
20 Tm 0.7500 0.5897 0.4103  6 Tb 3.40-3.52, 2 Er 3.50

---

[3]
A relaxed La2Er2Th crystal, computed with PBE.

Computed properties:
symmetry = R-3m
DOS(E_F) = 1.409 states/eV/atom
ΔE to the lowest computed polymorph = 0 meV/atom
energy relative to the elements = 0.1 eV per formula unit

Lattice parameters (Å, degrees): 3.6199 3.6199 14.7935 82.97 82.97 60.00
Closest atoms and distances in Å follow each position.
Fractional positions:
1 Er 0.6034 0.6034 0.1899  3 Th 3.48, 6 Er 3.62, 3 La 3.68
2 Er 0.3966 0.3966 0.8101  3 Th 3.48, 6 Er 3.62, 3 La 3.68
3 La 0.7988 0.7988 0.6037  9 La 3.62-3.69, 3 Er 3.68
4 La 0.2012 0.2012 0.3963  9 La 3.62-3.69, 3 Er 3.68
5 Th 0.0000 0.0000 0.0000  6 Er 3.48, 6 Th 3.62

---

[4]
A relaxed BeHg crystal, computed with PBE.

Computed properties:
symmetry = Cm
DOS(E_F) = 0.170 states/eV/atom
ΔE to the lowest computed polymorph = 61 meV/atom
energy relative to the elements = 0.7 eV per formula unit

Lattice parameters (Å, degrees): 6.3313 6.3313 6.2171 66.79 66.79 25.84
Closest atoms and distances in Å follow each position.
Fractional positions:
1 Hg 0.9558 0.9558 0.4165  5 Be 2.61-2.81, 2 Hg 2.83
2 Hg 0.2381 0.2381 0.0223  5 Be 2.56-2.67, 2 Hg 2.83
3 Hg 0.0075 0.0075 0.8731  4 Be 2.71-2.99, 2 Hg 2.83
4 Be 0.2821 0.2821 0.3996  4 Be 2.24-2.25
5 Be 0.7124 0.7124 0.7039  3 Be 2.24-2.31
6 Be 0.6374 0.6374 0.4180  3 Be 2.25-2.31

---

[5]
A relaxed Pr2Nd2Sm7 crystal, computed with PBE.

Computed properties:
symmetry = C2/m
DOS(E_F) = 1.544 states/eV/atom
ΔE to the lowest computed polymorph = 0 meV/atom
energy relative to the elements = 1.5 eV per formula unit

Lattice parameters (Å, degrees): 8.2287 10.6932 8.2287 126.19 88.48 53.81
Closest atoms and distances in Å follow each position.
Fractional positions:
1 Sm 0.6529 0.0789 0.3471  5 Sm 3.42-3.65, 3 Pr 3.53-3.80, 2 Nd 3.56
2 Sm 0.2386 0.3259 0.2387  4 Sm 3.27-3.65, 2 Nd 3.37-3.53
3 Sm 0.2387 0.6741 0.2386  4 Sm 3.27-3.65, 2 Nd 3.37-3.53
4 Sm 0.0000 0.5000 0.0000  6 Sm 3.37-3.53
5 Sm 0.7613 0.3259 0.7614  4 Sm 3.27-3.65, 2 Nd 3.37-3.53
6 Sm 0.3471 0.9211 0.6529  5 Sm 3.42-3.65, 3 Pr 3.53-3.80, 2 Nd 3.56
7 Sm 0.7614 0.6741 0.7613  4 Sm 3.27-3.65, 2 Nd 3.37-3.53
8 Pr 0.2177 0.6913 0.7823  7 Sm 3.53-3.87, 2 Pr 3.57-3.73, 2 Nd 3.81
9 Pr 0.7823 0.3087 0.2177  7 Sm 3.53-3.87, 2 Pr 3.57-3.73, 2 Nd 3.81
10 Nd 0.7146 0.0000 0.7146  6 Sm 3.37-3.56
11 Nd 0.2854 0.0000 0.2854  6 Sm 3.37-3.56

---

[6]
A relaxed Zn2Sn2Pb crystal, computed with PBE.

Computed properties:
symmetry = I4/mmm
DOS(E_F) = 0.537 states/eV/atom
ΔE to the lowest computed polymorph = 12 meV/atom
energy relative to the elements = 0.5 eV per formula unit

Lattice parameters (Å, degrees): 4.5001 4.5001 6.8764 70.90 70.90 90.00
Closest atoms and distances in Å follow each position.
Fractional positions:
1 Sn 0.7500 0.2500 0.5000  4 Zn 2.90, 4 Sn 3.18
2 Sn 0.2500 0.7500 0.5000  4 Zn 2.90, 4 Sn 3.18
3 Zn 0.5997 0.5997 0.8006  1 Zn 2.43
4 Zn 0.4003 0.4003 0.1994  1 Zn 2.43
5 Pb 0.0000 0.0000 0.0000  8 Zn 3.41, 8 Sn 3.79

---

[7]
A relaxed Pa2SeS4 crystal, computed with PBE.

Computed properties:
symmetry = R-3m
ΔE to the lowest computed polymorph = 8 meV/atom
formation energy without anion corrections = -1.436 eV per atom

Lattice parameters (Å, degrees): 4.6246 4.6246 9.6134 76.08 76.08 60.00
Closest atoms and distances in Å follow each position.
Fractional positions:
1 S 0.0900 0.0900 0.7300  3 Pa 2.74
2 S 0.2997 0.2997 0.1009  4 Pa 2.81-2.83, 3 S 3.09
3 S 0.7003 0.7003 0.8991  4 Pa 2.81-2.83, 3 S 3.09
4 S 0.9100 0.9100 0.2700  3 Pa 2.74
5 Se 0.5000 0.5000 0.5000  2 Pa 2.74
6 Pa 0.4012 0.4012 0.7964  1 Se 2.74, 7 S 2.74-2.83
7 Pa 0.5988 0.5988 0.2036  1 Se 2.74, 7 S 2.74-2.83

---

[8]
A relaxed NbMoCl2 crystal, computed with PBE.

Computed properties:
symmetry = I-42d
DOS(E_F) = 0.881 states/eV/atom
ΔE to the lowest computed polymorph = 719 meV/atom
formation energy without anion corrections = 0.753 eV per atom

Lattice parameters (Å, degrees): 5.7257 5.7257 6.3769 63.32 63.32 90.00
Closest atoms and distances in Å follow each position.
Fractional positions:
1 Mo 0.0000 0.0000 0.0000  4 Cl 2.33
2 Mo 0.7500 0.2500 0.5000  4 Cl 2.33
3 Cl 0.3750 0.3626 0.7500  2 Mo 2.33, 2 Nb 2.41
4 Cl 0.1126 0.6250 0.2500  2 Mo 2.33, 2 Nb 2.41
5 Cl 0.8750 0.8874 0.7500  2 Mo 2.33, 2 Nb 2.41
6 Cl 0.6374 0.1250 0.2500  2 Mo 2.33, 2 Nb 2.41
7 Nb 0.5000 0.5000 0.0000  4 Cl 2.41
8 Nb 0.2500 0.7500 0.5000  4 Cl 2.41

---

[9]
A relaxed TaHgW2 crystal, computed with PBE.

Computed properties:
symmetry = Cmmm
DOS(E_F) = 0.838 states/eV/atom
energy relative to the elements = 2.3 eV per formula unit

Lattice parameters (Å, degrees): 5.1921 5.1921 2.8152 90.00 90.00 112.27
Closest atoms and distances in Å follow each position.
Fractional positions:
1 W 0.0000 0.0000 0.0000  4 W 2.82-2.89, 4 Ta 2.95, 4 Hg 2.95
2 W 0.5000 0.5000 0.0000  4 W 2.82-2.89, 4 Hg 2.95, 4 Ta 2.95
3 Ta 0.0000 0.5000 0.5000  2 Ta 2.82, 2 Hg 2.89, 8 W 2.95
4 Hg 0.5000 0.0000 0.5000  2 Hg 2.82, 2 Ta 2.89, 8 W 2.95

---

[10]
A relaxed Zr2Rh2S crystal, computed with PBE.

Computed properties:
symmetry = P4/mbm
DOS(E_F) = 0.300 states/eV/atom
ΔE to the lowest computed polymorph = 0 meV/atom
formation energy without anion corrections = -0.621 eV per atom

Lattice parameters (Å, degrees): 7.3476 7.3476 3.3547 90.00 90.00 90.00
Closest atoms and distances in Å follow each position.
Fractional positions:
1 Rh 0.6312 0.1312 0.0000  6 Zr 2.67-2.78, 1 Rh 2.73, 2 S 2.88
2 Rh 0.8688 0.6312 0.0000  6 Zr 2.67-2.78, 1 Rh 2.73, 2 S 2.88
3 Rh 0.1312 0.3688 0.0000  6 Zr 2.67-2.78, 1 Rh 2.73, 2 S 2.88
4 Rh 0.3688 0.8688 0.0000  6 Zr 2.67-2.78, 1 Rh 2.73, 2 S 2.88
5 Zr 0.1689 0.6689 0.5000  6 Rh 2.67-2.78
6 Zr 0.3311 0.1689 0.5000  6 Rh 2.67-2.78
7 Zr 0.8311 0.3311 0.5000  6 Rh 2.67-2.78
8 Zr 0.6689 0.8311 0.5000  6 Rh 2.67-2.78
9 S 0.5000 0.5000 0.0000  4 Rh 2.88, 8 Zr 3.21
10 S 0.0000 0.0000 0.0000  4 Rh 2.88, 8 Zr 3.21

---

[11]
A relaxed BaMn2Ni crystal, computed with PBE.

Computed properties:
symmetry = Fm-3m
DOS(E_F) = 0.946 states/eV/atom
ΔE to the lowest computed polymorph = 631 meV/atom
energy relative to the elements = 3.6 eV per formula unit

Lattice parameters (Å, degrees): 4.9404 4.9404 4.9404 60.00 60.00 60.00
Closest atoms and distances in Å follow each position.
Fractional positions:
1 Mn 0.7500 0.7500 0.7500  4 Ba 3.03, 4 Ni 3.03
2 Mn 0.2500 0.2500 0.2500  4 Ba 3.03, 4 Ni 3.03
3 Ba 0.5000 0.5000 0.5000  8 Mn 3.03
4 Ni 0.0000 0.0000 0.0000  8 Mn 3.03

---

[12]
A relaxed PaMnCr crystal, computed with PBE.

Computed properties:
symmetry = P3m1
DOS(E_F) = 1.766 states/eV/atom
ΔE to the lowest computed polymorph = 314 meV/atom
energy relative to the elements = 0.9 eV per formula unit

Lattice parameters (Å, degrees): 2.8523 4.2623 4.2623 120.00 90.00 90.00
Closest atoms and distances in Å follow each position.
Fractional positions:
1 Pa 0.0087 0.0000 0.0000  3 Cr 2.56, 3 Mn 2.58, 2 Pa 2.85
2 Cr 0.2560 0.3333 0.6667  3 Pa 2.56, 3 Mn 2.82, 2 Cr 2.85
3 Mn 0.7353 0.6667 0.3333  3 Pa 2.58, 6 Cr 2.82-2.87, 2 Mn 2.85

---

Q: Which spin magnetization values were calculated for the entries above? A: 0.00 0.00 0.00 0.00 0.00 0.00 0.00 0.23 0.00 0.00 8.65 0.38, in μB/f.u..